A plane-wave DFT calculation with PBE was carried out for an optimized crystal structure of HoPu2HfS4.

Results
- Formation energy from raw total energies: -13.57 eV/f.u.
- Total magnetization: 0.007 μB/atom
- D(E_F): 1.649 states/eV/atom

a b c (Å): 3.8437 6.7524 6.5815
angles (deg): 109.48 90.00 90.00
Closest atoms and distances in Å follow each position.
Sites, in units of the cell vectors:
Pu (0.0000, 0.5000, 0.5000)  6 S 2.80-2.81
Pu (0.5000, 0.0000, 0.5000)  6 S 2.73-2.74
S (0.0000, 0.7554, 0.2393)  1 Hf 2.64, 2 Ho 2.71, 3 Pu 2.73-2.81
S (0.0000, 0.2446, 0.7607)  1 Hf 2.64, 2 Ho 2.71, 3 Pu 2.73-2.81
S (0.5000, 0.2374, 0.2343)  2 Hf 2.64, 1 Ho 2.71, 3 Pu 2.74-2.80
S (0.5000, 0.7626, 0.7657)  2 Hf 2.64, 1 Ho 2.71, 3 Pu 2.74-2.80
Hf (0.0000, 0.0000, 0.0000)  6 S 2.64
Ho (0.5000, 0.5000, 0.0000)  6 S 2.71